MgMo2PdO: relaxed, GGA+U.

abc: 4.371 4.673 4.371
angles: 90.00 90.00 90.00
Last column: magnetic moment on the atom in μB.
Fractional coordinates of all 5 atoms:
1 O 0.000 0.000 0.000  0.07
2 Mo 0.000 0.000 0.500  3.15
3 Mo 0.500 0.000 0.000  3.14
4 Mg 0.500 0.500 0.500  -0.05
5 Pd 0.000 0.500 0.000  0.14

The density of states at the Fermi level is 2.159 states/eV per cell. The electronic total energy comes out at -4.990 eV/atom. As for the mass density: 6298 kg/m³.